This record from Alexandria via LeMat-Bulk describes a geometry-optimized Sr2TlAg6Sn structure. The functional is PBE-GGA.

Structure (extended XYZ):
```
10
Lattice="7.4789 -0.0004 0.0000 0.0005 7.4789 0.0000 3.7397 3.7392 5.2884" Properties=species:S:1:pos:R:3 pbc="T T T"
Sn 0.0000 0.0000 0.0000
Ag 3.7397 3.7393 2.6603
Sr 3.7399 7.4787 2.6442
Sr 7.4792 3.7391 2.6442
Ag 1.8586 5.6205 0.0000
Ag 7.4794 7.4785 2.6281
Tl 3.7397 3.7393 0.0000
Ag 5.6209 5.6203 0.0000
Ag 5.6208 1.8580 0.0000
Ag 1.8585 1.8583 0.0000
```

ΔE_f	0.07	eV per atom
crystal system	cubic

---

This record from Alexandria via LeMat-Bulk describes a geometry-optimized SrTlAgSn structure. The functional is PBE-GGA.

Structure (extended XYZ):
```
4
Lattice="-1.5587 4.6804 -2.1260 0.5398 0.8668 -5.2738 -4.3485 0.2049 -3.1472" Properties=species:S:1:pos:R:3 pbc="T T T"
Sr -4.0256 4.3141 -7.9102
Tl 0.0000 0.0000 0.0000
Ag -2.6837 2.8761 -5.2735
Sn -1.3419 1.4380 -2.6367
```

ΔE_f	-0.25	eV per atom
crystal system	cubic

---

This record from Alexandria via LeMat-Bulk describes a geometry-optimized SrYAgSn structure. The functional is PBE-GGA.

Structure (extended XYZ):
```
4
Lattice="5.4270 0.0000 0.0000 2.7135 4.6999 0.0000 2.7135 1.5666 4.4311" Properties=species:S:1:pos:R:3 pbc="T T T"
Y 0.0000 0.0000 0.0000
Sn 8.1405 4.6999 3.3233
Sr 5.4270 3.1333 2.2156
Ag 2.7135 1.5666 1.1078
```

ΔE_f	-0.48	eV per atom
crystal system	cubic

---

This record from Alexandria via LeMat-Bulk describes a geometry-optimized SrYAgSn2 structure. The functional is PBE-GGA.

Structure (extended XYZ):
```
5
Lattice="5.7324 0.0000 0.0000 0.0000 5.5720 0.0000 0.0000 0.0000 5.7324" Properties=species:S:1:pos:R:3 pbc="T T T"
Sr 2.8662 2.7860 2.8662
Ag 0.0000 2.7860 0.0000
Sn 0.0000 0.0000 2.8662
Y 0.0000 0.0000 0.0000
Sn 2.8662 0.0000 0.0000
```

ΔE_f	0.06	eV per atom
crystal system	tetragonal

---

This record from Alexandria via LeMat-Bulk describes a geometry-optimized Sr2Zn3Ag12Sn structure. The functional is PBE-GGA.

Structure (extended XYZ):
```
18
Lattice="10.3086 1.9421 1.3775 6.7797 8.0047 1.3775 6.7797 3.9464 7.0992" Properties=species:S:1:pos:R:3 pbc="T T T"
Zn 3.3899 1.9732 3.5496
Ag 7.5409 2.1482 1.5237
Ag 11.3578 6.6112 2.9813
Ag 12.5104 7.2821 6.8730
Sr 15.4179 8.9745 6.3655
Sn 0.0000 0.0000 0.0000
Ag 12.5104 8.8940 4.6005
Ag 13.9120 6.4860 4.6005
Ag 11.3578 4.9993 5.2539
Zn 3.3899 4.0024 0.6888
Ag 18.2761 10.6382 5.1709
Ag 16.3273 11.7450 8.3306
Ag 18.2761 8.3970 8.3306
Sr 8.4502 4.9187 3.4888
Zn 5.1543 0.9711 0.6888
Ag 5.5921 3.2550 4.6835
Ag 9.9561 7.4072 5.2539
Ag 5.5921 5.4962 1.5237
```

ΔE_f	0.03	eV per atom
crystal system	trigonal

---

This record from Alexandria via LeMat-Bulk describes a geometry-optimized Sr2Zn3Ag4Sn structure. The functional is PBE-GGA.

Structure (extended XYZ):
```
10
Lattice="-3.4783 2.8700 0.2880 -2.7934 -3.2392 -1.4573 -1.8116 -3.2744 10.7507" Properties=species:S:1:pos:R:3 pbc="T T T"
Ag 0.0000 0.0000 0.0000
Sr -2.1812 0.6361 2.7669
Sr -2.7663 -4.0951 7.3991
Zn -0.9058 -1.6372 5.3754
Ag -2.9113 -0.6836 7.0999
Zn -3.3261 -1.4334 9.5616
Ag -3.1358 -0.1846 -0.5846
Sn -4.0417 -1.8218 4.7907
Ag -2.0361 -2.7754 3.0662
Zn -1.6213 -2.0256 0.6045
```

ΔE_f	-0.24	eV per atom
crystal system	tetragonal

---

This record from Alexandria via LeMat-Bulk describes a geometry-optimized Sr2ZnAg4Sn3 structure. The functional is PBE-GGA.

Structure (extended XYZ):
```
10
Lattice="-1.3702 -1.4975 -4.2413 4.3196 -1.6741 -0.8045 -3.0374 -10.0069 4.5144" Properties=species:S:1:pos:R:3 pbc="T T T"
Sn -3.3117 -9.4019 1.7830
Sr -1.4336 -3.2147 -1.0082
Ag 0.0000 0.0000 0.0000
Sn -1.5187 -5.0034 2.2572
Ag -2.5877 -7.0169 0.7071
Sr -0.1291 -8.3779 2.9997
Ag 1.4747 -1.5858 -2.5229
Zn -0.0440 -6.5892 -0.2657
Ag 1.0250 -4.5757 1.2844
Sn 1.7489 -2.1907 0.2084
```

ΔE_f	-0.31	eV per atom
crystal system	tetragonal

---

This record from Alexandria via LeMat-Bulk describes a geometry-optimized Sr2Zn3AgSn4 structure. The functional is PBE-GGA.

Structure (extended XYZ):
```
10
Lattice="4.7081 0.0000 0.0000 0.0000 4.7081 0.0000 0.0000 0.0000 11.4248" Properties=species:S:1:pos:R:3 pbc="T T T"
Sn 2.3540 2.3540 0.0000
Sn 0.0000 2.3540 4.1944
Ag 2.3540 2.3540 5.7124
Zn 0.0000 0.0000 5.7124
Sr 2.3540 0.0000 2.9452
Sr 0.0000 2.3540 8.4796
Sn 2.3540 0.0000 7.2304
Zn 2.3540 0.0000 9.8595
Zn 0.0000 2.3540 1.5653
Sn 0.0000 0.0000 0.0000
```

ΔE_f	-0.36	eV per atom
crystal system	tetragonal